{"formula": "FeMoPb3", "functional": "PBE", "state": "relaxed", "lattice": [[5.073, 0.000, 0.000], [0.000, 5.073, 0.000], [0.000, 0.000, 5.073]], "species": ["Pb", "Pb", "Pb", "Mo", "Fe"], "fractional_positions": [[0.000, 0.500, 0.000], [0.000, 0.000, 0.500], [0.500, 0.000, 0.000], [0.500, 0.500, 0.500], [0.000, 0.000, 0.000]], "relative_energy_ev_per_atom": 0.000, "dos_ef_per_ev_cell": 2.93, "ef_ev_per_atom": 1.0692, "sg": "Pm-3m (221)"}

{"formula": "PmSb2Pd", "functional": "PBE", "state": "relaxed", "lattice": [[-3.164, -3.435, 0.046], [-1.502, -1.845, -4.019], [2.322, -5.329, -1.135]], "species": ["Sb", "Sb", "Pd", "Pm"], "fractional_positions": [[0.777, 0.777, 0.670], [0.223, 0.223, 0.330], [0.500, 0.500, 0.500], [0.000, 0.000, 0.000]], "relative_energy_ev_per_atom": 0.231, "dos_ef_per_ev_cell": 3.18, "e_form_raw_ev_per_atom": -0.59, "sg": "R-3m (166)"}

{"formula": "YTl2W2", "functional": "PBE", "state": "relaxed", "lattice": [[8.547, 0.000, 0.000], [0.000, 8.547, 0.000], [0.000, 0.000, 2.997]], "species": ["Y", "Y", "Tl", "Tl", "Tl", "Tl", "W", "W", "W", "W"], "fractional_positions": [[0.000, 0.000, 0.000], [0.500, 0.500, 0.000], [0.315, 0.815, 0.000], [0.815, 0.685, 0.000], [0.685, 0.185, 0.000], [0.185, 0.315, 0.000], [0.105, 0.605, 0.500], [0.605, 0.895, 0.500], [0.895, 0.395, 0.500], [0.395, 0.105, 0.500]], "relative_energy_ev_per_atom": 0.193, "dos_ef_per_ev_cell": 9.38, "ef_ev_per_atom": 0.7331, "sg": "P4/mbm (127)"}

{"formula": "Er6BO12", "functional": "PBE", "state": "relaxed", "lattice": [[6.323, -0.019, -0.023], [-0.977, 6.247, -0.023], [-0.977, -1.139, 6.142]], "species": ["Er", "Er", "Er", "Er", "Er", "Er", "B", "O", "O", "O", "O", "O", "O", "O", "O", "O", "O", "O", "O"], "fractional_positions": [[0.695, 0.858, 0.394], [0.606, 0.305, 0.142], [0.142, 0.606, 0.305], [0.305, 0.142, 0.606], [0.394, 0.695, 0.858], [0.858, 0.394, 0.695], [0.000, 0.000, 0.000], [0.823, 0.562, 0.405], [0.405, 0.823, 0.562], [0.562, 0.405, 0.823], [0.177, 0.438, 0.595], [0.595, 0.177, 0.438], [0.438, 0.595, 0.177], [0.064, 0.969, 0.269], [0.031, 0.731, 0.936], [0.731, 0.936, 0.031], [0.936, 0.031, 0.731], [0.969, 0.269, 0.064], [0.269, 0.064, 0.969]], "dos_ef_per_ev_cell": 5.57, "e_form_raw_ev_per_atom": -2.83, "sg": "R-3 (148)"}

{"formula": "AsIr2Se", "functional": "PBE", "state": "relaxed", "lattice": [[5.253, 0.102, -0.125], [4.333, 2.972, -0.125], [0.499, 0.160, 4.416]], "species": ["As", "Ir", "Ir", "Se"], "fractional_positions": [[0.721, 0.721, 0.822], [0.015, 0.015, 0.982], [0.273, 0.273, 0.250], [0.491, 0.491, 0.446]], "relative_energy_ev_per_atom": 0.236, "dos_ef_per_ev_cell": 2.22, "e_form_raw_ev_per_atom": 0.27, "sg": "Cm (8)"}

{"formula": "Ni5B2Pd", "functional": "PBE", "state": "relaxed", "lattice": [[-0.135, 1.532, 2.576], [-0.694, -4.383, 4.317], [4.149, -2.810, 3.635]], "species": ["Ni", "Ni", "Ni", "Ni", "Ni", "B", "B", "Pd"], "fractional_positions": [[0.000, 0.500, 0.500], [0.342, 0.409, 0.907], [0.658, 0.591, 0.093], [0.658, 0.093, 0.591], [0.342, 0.907, 0.409], [0.194, 0.306, 0.306], [0.806, 0.694, 0.694], [0.000, 0.000, 0.000]], "dos_ef_per_ev_cell": 3.95, "ef_ev_per_atom": -0.1660, "sg": "Immm (71)"}

{"formula": "Tm7Sc12In", "functional": "PBE", "state": "relaxed", "lattice": [[0.640, 3.970, 7.118], [-2.987, -6.588, 3.810], [7.619, -2.861, 0.777]], "species": ["Tm", "Tm", "Tm", "Tm", "Tm", "Tm", "Tm", "Sc", "Sc", "Sc", "Sc", "Sc", "Sc", "Sc", "Sc", "Sc", "Sc", "Sc", "Sc", "In"], "fractional_positions": [[0.848, 0.621, 0.960], [0.379, 0.040, 0.152], [0.040, 0.152, 0.379], [0.500, 0.500, 0.500], [0.960, 0.848, 0.621], [0.621, 0.960, 0.848], [0.152, 0.379, 0.040], [0.872, 0.273, 0.743], [0.727, 0.257, 0.128], [0.621, 0.149, 0.494], [0.851, 0.506, 0.379], [0.257, 0.128, 0.727], [0.506, 0.379, 0.851], [0.494, 0.621, 0.149], [0.743, 0.872, 0.273], [0.149, 0.494, 0.621], [0.379, 0.851, 0.506], [0.273, 0.743, 0.872], [0.128, 0.727, 0.257], [0.000, 0.000, 0.000]], "dos_ef_per_ev_cell": 42.65, "ef_ev_per_atom": 0.1619, "sg": "R-3 (148)"}

{"formula": "ReP2RuS", "functional": "PBE", "state": "relaxed", "lattice": [[-1.755, 2.272, 3.601], [3.502, -1.446, 2.619], [2.376, 3.665, -1.154]], "species": ["Re", "S", "P", "P", "Ru"], "fractional_positions": [[0.000, 0.000, 0.000], [0.000, 0.000, 0.500], [0.000, 0.500, 0.000], [0.500, 0.000, 0.000], [0.500, 0.500, 0.500]], "relative_energy_ev_per_atom": 0.000, "dos_ef_per_ev_cell": 5.62, "e_form_raw_ev_per_atom": 1.12, "sg": "P4/mmm (123)"}

{"formula": "CsMg14Sn", "functional": "PBE", "state": "relaxed", "lattice": [[3.783, -5.134, 0.000], [3.783, 5.134, 0.000], [0.000, 0.000, 10.670]], "species": ["Cs", "Mg", "Mg", "Mg", "Mg", "Mg", "Mg", "Mg", "Mg", "Mg", "Mg", "Mg", "Mg", "Mg", "Mg", "Sn"], "fractional_positions": [[0.242, 0.758, 0.500], [0.939, 0.061, 0.000], [0.401, 0.599, 0.000], [0.335, 0.275, 0.500], [0.471, 0.130, 0.000], [0.725, 0.665, 0.500], [0.870, 0.529, 0.000], [0.119, 0.319, 0.238], [0.119, 0.319, 0.762], [0.681, 0.881, 0.238], [0.681, 0.881, 0.762], [0.632, 0.368, 0.262], [0.632, 0.368, 0.738], [0.163, 0.837, 0.184], [0.163, 0.837, 0.816], [0.827, 0.173, 0.500]], "relative_energy_ev_per_atom": 0.000, "dos_ef_per_ev_cell": 7.17, "ef_ev_per_atom": 0.1192, "sg": "Amm2 (38)"}

{"formula": "CrInOs", "functional": "PBE", "state": "relaxed", "lattice": [[7.199, 0.006, -0.004], [6.404, 2.698, 0.010], [0.795, -1.090, 2.461]], "species": ["Cr", "In", "Os"], "fractional_positions": [[0.010, 0.010, 0.990], [0.337, 0.337, 0.663], [0.653, 0.653, 0.347]], "relative_energy_ev_per_atom": 0.340, "dos_ef_per_ev_cell": 3.00, "ef_ev_per_atom": 0.5897, "sg": "Fmm2 (42)"}

{"formula": "CoReOs3", "functional": "PBE", "state": "relaxed", "lattice": [[4.323, 0.000, 0.000], [0.000, 4.323, 0.000], [0.000, 0.000, 4.323]], "species": ["Re", "Os", "Os", "Os", "Co"], "fractional_positions": [[0.500, 0.500, 0.500], [0.000, 0.500, 0.000], [0.000, 0.000, 0.500], [0.500, 0.000, 0.000], [0.000, 0.000, 0.000]], "relative_energy_ev_per_atom": 0.000, "dos_ef_per_ev_cell": 6.83, "ef_ev_per_atom": 1.9562, "sg": "Pm-3m (221)"}

{"formula": "TlGeTe3", "functional": "PBE", "state": "relaxed", "lattice": [[5.527, 0.000, 0.000], [0.000, 5.527, 0.000], [0.000, 0.000, 5.527]], "species": ["Tl", "Te", "Te", "Te", "Ge"], "fractional_positions": [[0.500, 0.500, 0.500], [0.000, 0.500, 0.000], [0.000, 0.000, 0.500], [0.500, 0.000, 0.000], [0.000, 0.000, 0.000]], "relative_energy_ev_per_atom": 0.225, "dos_ef_per_ev_cell": 5.32, "e_form_raw_ev_per_atom": 0.17, "sg": "Pm-3m (221)"}